No. 1
Computed, not measured: Rh after structural relaxation at the GGA-PBE level of DFT.

Values from the calculation:
Energy above the most stable polymorph in this dataset, meV/atom: 582.4
Spin magnetization, μB/f.u.: 0.30
E, eV per cell: -40.6
D(E_F), states/eV/cell: 12.17
ΔH_f (0 K), eV/atom: 0.5824

Unit cell a=4.384 b=5.028 c=5.028 alpha=120.00 beta=90.00 gamma=90.00
Site moments in Bohr magnetons follow the coordinates.
Sites, in units of the cell vectors:
Rh 0.500 0.667 0.000  0.14
Rh 0.000 0.833 0.333  0.25
Rh 0.000 0.833 0.833  0.25
Rh 0.500 0.333 0.333  0.76
Rh 0.500 0.000 0.667  0.14
Rh 0.000 0.333 0.833  0.25

***

No. 2
Computed, not measured: Nd3Pa2Rh4 after structural relaxation at the GGA-PBE level of DFT.

Values from the calculation:
Spin magnetization, μB/f.u.: 0.00
E, eV per cell: -68.7
D(E_F), states/eV/cell: 9.85
ΔH_f (0 K), eV/atom: -0.6702

Unit cell a=3.913 b=6.260 c=9.558 alpha=98.79 beta=90.00 gamma=108.21
Sites, in units of the cell vectors:
Nd 0.375 0.750 0.613
Nd 0.625 0.250 0.387
Nd 0.000 0.000 0.000
Rh 0.921 0.842 0.371
Rh 0.079 0.158 0.629
Rh 0.693 0.386 0.079
Rh 0.307 0.614 0.921
Pa 0.317 0.635 0.219
Pa 0.683 0.365 0.781

***

No. 3
Computed, not measured: CrTeBr after structural relaxation at the GGA-PBE level of DFT.

Values from the calculation:
Uncorrected formation energy, kcal/mol of atoms: -3.92
Spin magnetization, μB/f.u.: 3.39
E, eV per cell: -14.9
D(E_F), states/eV/cell: 1.54

Unit cell a=8.316 b=7.952 c=3.627 alpha=82.79 beta=71.57 gamma=25.64
Site moments in Bohr magnetons follow the coordinates.
Sites, in units of the cell vectors:
Cr 0.664 0.664 0.336  3.43
Br 0.052 0.052 0.948  0.01
Te 0.284 0.284 0.716  -0.25